# 1
Here is crystalline ErScNiOs at its relaxed geometry from Alexandria. Energies are from PBE.

Output
offset from the most stable computed form	0.0000	eV per atom
SG	P4mm, No. 99
E_form	-9.5	kcal/mol of atoms
E	-7.39	eV per atom

Cell lengths 3.304, 3.304, 6.487 Å; angles 90.00, 90.00, 90.00 degrees
Fractional coordinates of all 4 atoms:
Er  0.500  0.500  0.606
Sc  0.500  0.500  0.110
Ni  0.000  0.000  0.872
Os  0.000  0.000  0.340

=====

# 2
Here is crystalline TlCdF3 at its relaxed geometry from Alexandria. Energies are from PBE.

Output
SG	Cmcm, No. 63
formation energy (no corrections)	-1465	meV/atom
E	-3.24	eV per atom

Cell lengths 6.957, 6.957, 4.969 Å; angles 90.00, 90.00, 131.16 degrees
Fractional coordinates of all 10 atoms:
Tl  0.156  0.844  0.250
Tl  0.844  0.156  0.750
F  0.057  0.449  0.250
F  0.551  0.943  0.250
F  0.449  0.057  0.750
F  0.943  0.551  0.750
F  0.000  0.000  0.000
F  0.000  0.000  0.500
Cd  0.440  0.560  0.250
Cd  0.560  0.440  0.750

=====

# 3
Here is crystalline V5P2C at its relaxed geometry from Alexandria. Energies are from PBE.

Output
offset from the most stable computed form	0.5244	eV per atom
SG	Cmcm, No. 63
E_form	-5.0	kcal/mol of atoms
E	-8.42	eV per atom

Cell lengths 4.112, 6.219, 9.928 Å; angles 90.00, 90.00, 109.31 degrees
Fractional coordinates of all 16 atoms:
V  0.923  0.846  0.880
V  0.923  0.846  0.620
V  0.285  0.570  0.435
V  0.285  0.570  0.065
V  0.714  0.427  0.250
V  0.286  0.573  0.750
V  0.715  0.430  0.565
V  0.715  0.430  0.935
V  0.077  0.154  0.120
V  0.077  0.154  0.380
P  0.877  0.754  0.392
P  0.877  0.754  0.108
P  0.123  0.246  0.608
P  0.123  0.246  0.892
C  0.793  0.586  0.750
C  0.207  0.414  0.250

=====

# 4
Here is crystalline Tb8Dy6In at its relaxed geometry from Alexandria. Energies are from PBE.

Output
SG	P-3, No. 147
E_form	1.9	kcal/mol of atoms
E	-4.41	eV per atom

Cell lengths 6.368, 9.311, 9.311 Å; angles 120.00, 90.00, 90.00 degrees
Fractional coordinates of all 15 atoms:
Tb  0.816  0.039  0.268
Tb  0.816  0.732  0.772
Tb  0.816  0.228  0.961
Tb  0.184  0.961  0.732
Tb  0.184  0.268  0.228
Tb  0.184  0.772  0.039
Tb  0.829  0.333  0.667
Tb  0.171  0.667  0.333
Dy  0.676  0.643  0.094
Dy  0.676  0.906  0.549
Dy  0.676  0.451  0.357
Dy  0.324  0.357  0.906
Dy  0.324  0.094  0.451
Dy  0.324  0.549  0.643
In  0.500  0.000  0.000

=====

# 5
Here is crystalline SrAg2HgCl6 at its relaxed geometry from Alexandria. Energies are from PBE.

Output
SG	R3, No. 146
formation energy (no corrections)	-1060	meV/atom
E	-2.94	eV per atom

Cell lengths 7.039, 7.039, 7.520 Å; angles 62.09, 62.09, 60.00 degrees
Fractional coordinates of all 10 atoms:
Sr  0.816  0.816  0.553
Ag  0.520  0.520  0.441
Ag  0.018  0.018  0.947
Hg  0.316  0.316  0.051
Cl  0.597  0.234  0.247
Cl  0.234  0.922  0.247
Cl  0.922  0.597  0.247
Cl  0.397  0.718  0.761
Cl  0.718  0.124  0.761
Cl  0.124  0.397  0.761

=====

# 6
Here is crystalline Ce2Tm4H2Pb3 at its relaxed geometry from Alexandria. Energies are from PBE.

Output
SG	I4/mmm, No. 139
E	-4.70	eV per atom

Cell lengths 4.764, 4.764, 12.850 Å; angles 100.68, 100.68, 90.00 degrees
Each line ends with the local moment (μB).
Fractional coordinates of all 11 atoms:
Ce  0.307  0.307  0.614  0.92
Ce  0.693  0.693  0.386  0.92
Tm  0.417  0.917  0.835  0.13
Tm  0.917  0.417  0.835  0.13
Tm  0.083  0.583  0.165  0.13
Tm  0.583  0.083  0.165  0.13
H  0.405  0.405  0.809  0.00
H  0.595  0.595  0.191  0.00
Pb  0.000  0.000  0.000  0.00
Pb  0.174  0.174  0.347  -0.02
Pb  0.826  0.826  0.653  -0.02

=====

# 7
Here is crystalline K3Te at its relaxed geometry from Alexandria. Energies are from PBE.

Output
offset from the most stable computed form	0.0000	eV per atom
SG	Immm, No. 71
formation energy (no corrections)	-644	meV/atom
E	-2.25	eV per atom

Cell lengths 4.534, 5.579, 9.624 Å; angles 106.85, 103.62, 90.00 degrees
Fractional coordinates of all 4 atoms:
K  0.350  0.766  0.700
K  0.500  0.417  0.000
K  0.650  0.066  0.300
Te  0.000  0.917  0.000

=====

# 8
Here is crystalline CaNd2Ho at its relaxed geometry from Alexandria. Energies are from PBE.

Output
offset from the most stable computed form	0.0609	eV per atom
SG	P4/mmm, No. 123
E_form	2.2	kcal/mol of atoms
E	-3.93	eV per atom

Cell lengths 5.046, 5.260, 5.260 Å; angles 90.00, 90.00, 90.00 degrees
Fractional coordinates of all 4 atoms:
Ca  0.500  0.000  0.000
Nd  0.000  0.000  0.500
Nd  0.000  0.500  0.000
Ho  0.500  0.500  0.500

=====

# 9
Here is crystalline Ca2ScOs at its relaxed geometry from Alexandria. Energies are from PBE.

Output
offset from the most stable computed form	0.4765	eV per atom
SG	P4/mmm, No. 123
E_form	11.5	kcal/mol of atoms
E	-4.89	eV per atom

Cell lengths 3.258, 3.258, 9.689 Å; angles 90.00, 90.00, 90.00 degrees
Each line ends with the local moment (μB).
Fractional coordinates of all 4 atoms:
Sc  0.500  0.500  0.750  0.19
Ca  0.000  0.000  0.061  0.00
Ca  0.000  0.000  0.439  0.00
Os  0.500  0.500  0.250  0.01

=====

# 10
Here is crystalline LiSn2Hg2 at its relaxed geometry from Alexandria. Energies are from PBE.

Output
offset from the most stable computed form	0.0000	eV per atom
SG	I4/mmm, No. 139
E_form	-3.1	kcal/mol of atoms
E	-2.24	eV per atom

Cell lengths 3.276, 3.276, 11.219 Å; angles 98.39, 98.39, 90.00 degrees
Fractional coordinates of all 5 atoms:
Li  0.000  0.000  0.000
Sn  0.807  0.807  0.614
Sn  0.193  0.193  0.386
Hg  0.580  0.580  0.161
Hg  0.420  0.420  0.839

=====

# 11
Here is crystalline ScTi2N at its relaxed geometry from Alexandria. Energies are from PBE.

Output
SG	R-3m, No. 166
formation energy (no corrections)	-748	meV/atom
E	-8.36	eV per atom

Cell lengths 3.017, 3.017, 8.130 Å; angles 79.31, 79.31, 60.00 degrees
Fractional coordinates of all 4 atoms:
Sc  0.000  0.000  0.000
N  0.500  0.500  0.500
Ti  0.119  0.119  0.643
Ti  0.881  0.881  0.357

=====

# 12
Here is crystalline ScPOs2 at its relaxed geometry from Alexandria. Energies are from PBE.

Output
SG	R-3m, No. 166
E_form	0.7	kcal/mol of atoms
E	-8.52	eV per atom

Cell lengths 8.040, 8.040, 8.040 Å; angles 21.63, 21.63, 21.63 degrees
Fractional coordinates of all 4 atoms:
Sc  0.000  0.000  0.000
P  0.500  0.500  0.500
Os  0.762  0.762  0.762
Os  0.238  0.238  0.238

=====

# 13
Here is crystalline BaCa2HgRu at its relaxed geometry from Alexandria. Energies are from PBE.

Output
SG	P4/mmm, No. 123
E_form	9.6	kcal/mol of atoms
E	-2.68	eV per atom

Cell lengths 5.681, 5.342, 5.681 Å; angles 90.00, 90.00, 90.00 degrees
Fractional coordinates of all 5 atoms:
Ru  0.000  0.500  0.000
Ca  0.000  0.000  0.500
Ca  0.500  0.000  0.000
Hg  0.000  0.000  0.000
Ba  0.500  0.500  0.500

=====

# 14
Here is crystalline TbPrNd2 at its relaxed geometry from Alexandria. Energies are from PBE.

Output
offset from the most stable computed form	0.0013	eV per atom
SG	I-4m2, No. 119
E_form	0.4	kcal/mol of atoms
E	-4.72	eV per atom

Cell lengths 5.187, 5.187, 6.334 Å; angles 114.17, 114.17, 90.00 degrees
Fractional coordinates of all 4 atoms:
Tb  0.500  0.500  0.000
Pr  0.250  0.750  0.500
Nd  0.000  0.000  0.000
Nd  0.750  0.250  0.500

=====

# 15
Here is crystalline Ac2Nd6Er5 at its relaxed geometry from Alexandria. Energies are from PBE.

Output
SG	Pbam, No. 55
E_form	2.6	kcal/mol of atoms
E	-4.47	eV per atom

Cell lengths 3.705, 12.075, 20.595 Å; angles 90.00, 90.00, 90.00 degrees
Fractional coordinates of all 26 atoms:
Ac  0.000  0.339  0.280
Ac  0.000  0.661  0.720
Ac  0.000  0.839  0.220
Ac  0.000  0.161  0.780
Nd  0.000  0.078  0.364
Nd  0.000  0.922  0.636
Nd  0.000  0.578  0.136
Nd  0.000  0.422  0.864
Nd  0.500  0.320  0.119
Nd  0.500  0.680  0.881
Nd  0.500  0.820  0.381
Nd  0.500  0.180  0.619
Nd  0.000  0.557  0.424
Nd  0.000  0.443  0.576
Nd  0.000  0.057  0.076
Nd  0.000  0.943  0.924
Er  0.500  0.299  0.446
Er  0.500  0.701  0.554
Er  0.500  0.799  0.054
Er  0.500  0.201  0.946
Er  0.500  0.600  0.280
Er  0.500  0.400  0.720
Er  0.500  0.100  0.220
Er  0.500  0.900  0.780
Er  0.500  0.500  0.000
Er  0.500  0.000  0.500

=====

# 16
Here is crystalline KNa2TlF at its relaxed geometry from Alexandria. Energies are from PBE.

Output
SG	P4/mmm, No. 123
formation energy (no corrections)	-1011	meV/atom
E	-2.61	eV per atom

Cell lengths 5.043, 5.043, 5.284 Å; angles 90.00, 90.00, 90.00 degrees
Fractional coordinates of all 5 atoms:
Na  0.000  0.500  0.000
Na  0.500  0.000  0.000
Tl  0.500  0.500  0.500
K  0.000  0.000  0.500
F  0.000  0.000  0.000

=====

# 17
Here is crystalline AlSiPS2 at its relaxed geometry from Alexandria. Energies are from PBE.

Output
offset from the most stable computed form	0.0000	eV per atom
SG	P4/mmm, No. 123
formation energy (no corrections)	352	meV/atom
E	-4.21	eV per atom

Cell lengths 4.492, 4.492, 4.606 Å; angles 90.00, 90.00, 90.00 degrees
Fractional coordinates of all 5 atoms:
P  0.000  0.000  0.500
S  0.000  0.500  0.000
S  0.500  0.000  0.000
Si  0.000  0.000  0.000
Al  0.500  0.500  0.500

=====

# 18
Here is crystalline YIr2Rh2 at its relaxed geometry from Alexandria. Energies are from PBE.

Output
offset from the most stable computed form	0.0000	eV per atom
SG	I4/mmm, No. 139
E_form	-5.7	kcal/mol of atoms
E	-8.02	eV per atom

Cell lengths 4.005, 4.005, 6.346 Å; angles 71.61, 71.61, 90.00 degrees
Fractional coordinates of all 5 atoms:
Y  0.000  0.000  0.000
Ir  0.396  0.396  0.207
Ir  0.604  0.604  0.793
Rh  0.750  0.250  0.500
Rh  0.250  0.750  0.500

=====

# 19
Here is crystalline BaBCl3 at its relaxed geometry from Alexandria. Energies are from PBE.

Output
offset from the most stable computed form	0.4975	eV per atom
SG	Pm-3m, No. 221
formation energy (no corrections)	-349	meV/atom
E	-3.18	eV per atom

Cell lengths 5.994, 5.994, 5.994 Å; angles 90.00, 90.00, 90.00 degrees
Fractional coordinates of all 5 atoms:
B  0.500  0.500  0.500
Ba  0.000  0.000  0.000
Cl  0.000  0.500  0.000
Cl  0.000  0.000  0.500
Cl  0.500  0.000  0.000

=====

# 20
Here is crystalline Ti2NO at its relaxed geometry from Alexandria. Energies are from PBE.

Output
offset from the most stable computed form	0.5265	eV per atom
SG	Fm-3m, No. 225
formation energy (no corrections)	-1532	meV/atom
E	-8.80	eV per atom

Cell lengths 3.729, 3.729, 3.729 Å; angles 60.00, 60.00, 60.00 degrees
Fractional coordinates of all 4 atoms:
N  0.000  0.000  0.000
O  0.500  0.500  0.500
Ti  0.250  0.250  0.250
Ti  0.750  0.750  0.750

=====

# 21
Here is crystalline USnHg at its relaxed geometry from Alexandria. Energies are from PBE.

Output
offset from the most stable computed form	0.0053	eV per atom
SG	P-6m2, No. 187
E_form	1.7	kcal/mol of atoms
E	-5.12	eV per atom

Cell lengths 3.008, 5.274, 5.274 Å; angles 120.00, 90.00, 90.00 degrees
Each line ends with the local moment (μB).
Fractional coordinates of all 3 atoms:
U  0.667  0.333  0.667  2.88
Hg  0.167  0.667  0.333  0.00
Sn  0.166  0.000  0.000  -0.06

=====

# 22
Here is crystalline Ce8Te4As3O at its relaxed geometry from Alexandria. Energies are from PBE.

Output
SG	R-3m, No. 166
formation energy (no corrections)	-1503	meV/atom
E	-6.44	eV per atom

Cell lengths 8.444, 8.704, 8.444 Å; angles 119.02, 120.00, 90.00 degrees
Each line ends with the local moment (μB).
Fractional coordinates of all 16 atoms:
Ce  0.225  0.709  0.985  0.88
Ce  0.224  0.709  0.449  0.88
Ce  0.258  0.275  0.517  0.67
Ce  0.760  0.709  0.985  0.88
Ce  0.240  0.291  0.015  0.88
Ce  0.742  0.725  0.483  0.67
Ce  0.776  0.291  0.551  0.88
Ce  0.775  0.291  0.015  0.88
Te  0.500  0.000  0.000  -0.02
Te  0.500  0.000  0.500  -0.02
Te  0.000  0.000  0.000  -0.02
Te  0.000  0.000  0.500  -0.02
As  0.500  0.500  0.000  -0.03
As  0.500  0.500  0.500  -0.03
As  0.000  0.500  0.500  -0.03
O  0.000  0.500  0.000  -0.04

=====

# 23
Here is crystalline LiTb2PaO6 at its relaxed geometry from Alexandria. Energies are from PBE.

Output
SG	R3, No. 146
formation energy (no corrections)	-3273	meV/atom
E	-8.31	eV per atom

Cell lengths 5.830, 5.830, 6.080 Å; angles 61.35, 61.35, 60.00 degrees
Fractional coordinates of all 10 atoms:
Li  0.799  0.799  0.604
Tb  0.527  0.527  0.418
Tb  0.022  0.022  0.933
Pa  0.315  0.315  0.056
O  0.608  0.223  0.238
O  0.223  0.932  0.238
O  0.932  0.608  0.238
O  0.407  0.696  0.764
O  0.696  0.134  0.764
O  0.134  0.407  0.764

=====

# 24
Here is crystalline TlCuSn2Hg at its relaxed geometry from Alexandria. Energies are from PBE.

Output
offset from the most stable computed form	0.0261	eV per atom
SG	P4/mmm, No. 123
E_form	4.6	kcal/mol of atoms
E	-2.76	eV per atom

Cell lengths 5.083, 5.083, 5.441 Å; angles 90.00, 90.00, 90.00 degrees
Fractional coordinates of all 5 atoms:
Tl  0.000  0.000  0.500
Hg  0.500  0.500  0.500
Cu  0.000  0.000  0.000
Sn  0.000  0.500  0.000
Sn  0.500  0.000  0.000

=====

# 25
Here is crystalline GaGeH at its relaxed geometry from Alexandria. Energies are from PBE.

Output
offset from the most stable computed form	0.0221	eV per atom
SG	P-1, No. 2
E	-3.52	eV per atom

Cell lengths 4.344, 4.296, 7.456 Å; angles 75.47, 89.16, 120.40 degrees
Fractional coordinates of all 6 atoms:
H  0.802  0.091  0.580
H  0.198  0.909  0.420
Ge  0.785  0.121  0.785
Ge  0.215  0.879  0.215
Ga  0.588  0.622  0.148
Ga  0.412  0.378  0.852